The following is a DFT calculation (GGA-PBE) of a relaxed K3Na2HgF9 crystal.

Properties
Total moment   0.137 μB per atom
Crystal system   trigonal
Formation energy without anion corrections   -2.16 eV/atom
Calculated volume   261 Å³ per cell

Cell lengths 6.2097, 6.2097, 7.8041 Å; angles 90.00, 90.00, 120.00 degrees
Space group P-3m1 (No. 164)
One atom of each set of equivalent atoms:
K  0.0000  0.0000  0.0000
K  0.3333  0.6667  0.7357
Na  0.3333  0.6667  0.1681
Hg  0.0000  0.0000  0.5000
F  0.0000  0.5000  0.0000
F  0.1582  0.3164  0.3317